First-principles (PBE) data for a relaxed structure of Tl2Pb, as listed in the Alexandria database.

Computed properties:
- theoretical density (Mg/m³) = 10.890
- crystal system = orthorhombic
- formation energy from the elements (meV per atom) = 3
- excess energy over the best structure of this formula in the dataset (eV/f.u.) = 0.01
- SG = No. 42
- final energy (eV/atom) = -2.81

abc: 9.170 3.486 8.864
angles: 83.84 22.21 73.96
Atoms (fractional coordinates):
Tl  0.164  0.836  0.164
Tl  0.836  0.164  0.836
Pb  0.650  0.650  0.350